Material: Tb3Y6HoTm2
Method: DFT, PBE
State: optimized geometry

Total magnetic moment ... 0.000 μB per cell
D(E_F) ... 17.54 states/eV/cell
Total DFT energy (no corrections) ... -0.4037 Ry/atom
Space-group type ... C2/m, No. 12

a = 6.1475 Å, b = 6.1475 Å, c = 11.7709 Å
α = 94.98°, β = 94.98°, γ = 119.94°
Fractional coordinates of all 12 atoms:
Tb1 0.0000 0.0000 0.0000
Tb2 0.3332 0.6668 0.0000
Tb3 0.6668 0.3332 0.0000
Y1 0.0836 0.4171 0.2515
Y2 0.2494 0.2494 0.7485
Y3 0.4171 0.0836 0.2515
Y4 0.5829 0.9164 0.7485
Y5 0.7506 0.7506 0.2515
Y6 0.9164 0.5829 0.7485
Ho1 0.5000 0.5000 0.5000
Tm1 0.1667 0.8333 0.5000
Tm2 0.8333 0.1667 0.5000

Material: LiTiBi2
Method: DFT, PBE
State: optimized geometry

Total magnetic moment ... 1.053 μB per cell
D(E_F) ... 10.86 states/eV/cell
Total DFT energy (no corrections) ... -0.3354 Ry/atom
Distance to the lowest polymorph of the same formula ... 0 meV/atom
Space-group type ... R-3m, No. 166

a = 3.6660 Å, b = 3.6660 Å, c = 25.1732 Å
α = 90.00°, β = 90.00°, γ = 120.00°
Fractional coordinates of all 12 atoms:
Li1 0.0000 0.0000 0.0000
Li2 0.3333 0.6667 0.6667
Li3 0.6667 0.3333 0.3333
Ti1 0.0000 0.0000 0.5000
Ti2 0.3333 0.6667 0.1667
Ti3 0.6667 0.3333 0.8333
Bi1 0.0000 0.0000 0.2464
Bi2 0.0000 0.0000 0.7536
Bi3 0.3333 0.6667 0.4203
Bi4 0.3333 0.6667 0.9130
Bi5 0.6667 0.3333 0.0870
Bi6 0.6667 0.3333 0.5797

Material: Er3SeI7
Method: DFT, PBE
State: optimized geometry

Total magnetic moment ... 0.000 μB per cell
D(E_F) ... 0.00 states/eV/cell
Total DFT energy (no corrections) ... -0.2935 Ry/atom
Space-group type ... P3m1, No. 156

a = 8.6045 Å, b = 8.6045 Å, c = 7.6730 Å
α = 90.00°, β = 90.00°, γ = 120.00°
Fractional coordinates of all 11 atoms:
Er1 0.0176 0.5088 0.0000
Er2 0.4912 0.5088 0.0000
Er3 0.4912 0.9824 0.0000
Se1 0.3333 0.6667 0.8132
I1 0.1684 0.3369 0.2388
I2 0.1684 0.8316 0.2388
I3 0.3391 0.1696 0.7834
I4 0.6631 0.8316 0.2388
I5 0.6667 0.3333 0.2358
I6 0.8304 0.1696 0.7834
I7 0.8304 0.6609 0.7834